CoNi2SeO6 | the Alexandria database | PBE with a Hubbard U | optimized geometry; magnetization = 7.16 μB per cell; E = -4.875 eV/atom
1.0
4.632 0.000 0.000
0.000 5.392 0.000
0.000 0.000 5.392
Ni O Co Se
2 6 1 1
direct
0.887 0.500 0.000
0.887 0.000 0.500
0.745 0.753 0.753
0.269 0.000 0.000
0.745 0.247 0.753
0.216 0.500 0.500
0.745 0.753 0.247
0.745 0.247 0.247
0.581 0.500 0.500
0.626 0.000 0.000